An optimized crystal structure of RbCaAgI4. Source: the Alexandria database, functional PBE-GGA.

abc: 7.573 8.294 10.006
angles: 90.00 109.03 90.00
Sites, in units of the cell vectors:
Rb 0.214 0.250 0.043
Rb 0.786 0.750 0.957
I 0.967 0.012 0.290
I 0.033 0.512 0.710
I 0.443 0.750 0.148
I 0.557 0.250 0.852
I 0.033 0.988 0.710
I 0.505 0.250 0.399
I 0.495 0.750 0.601
I 0.967 0.488 0.290
Ag 0.775 0.250 0.671
Ag 0.225 0.750 0.329
Ca 0.218 0.250 0.557
Ca 0.782 0.750 0.443

The calculation puts the energy relative to the elements, uncorrected at -8.031 eV per formula unit. Its space group is P2_1/m. As for the volume: 42.4 Å³ per atom.